An optimized crystal structure of BaCu4H7. Source: Alexandria, functional PBE.

Computed properties:
* calculated total energy: -3.59 eV/atom
* crystal system: orthorhombic
* theoretical density: 5.4 g/cm³
* SG: No. 31

Cell lengths 11.389, 4.749, 4.532 Å; angles 90.00, 90.00, 90.00 degrees
Fractional positions:
Ba 0.000 0.213 0.000
Ba 0.500 0.787 0.500
Cu 0.130 0.690 0.533
Cu 0.250 0.203 0.521
Cu 0.250 0.797 0.021
Cu 0.370 0.310 0.033
Cu 0.630 0.310 0.033
Cu 0.750 0.203 0.521
Cu 0.750 0.797 0.021
Cu 0.870 0.690 0.533
H 0.000 0.833 0.448
H 0.118 0.342 0.494
H 0.118 0.718 0.908
H 0.247 0.860 0.392
H 0.253 0.140 0.892
H 0.382 0.282 0.408
H 0.382 0.658 0.994
H 0.500 0.167 0.948
H 0.618 0.282 0.408
H 0.618 0.658 0.994
H 0.747 0.140 0.892
H 0.753 0.860 0.392
H 0.882 0.342 0.494
H 0.882 0.718 0.908